[1]
This record from the Alexandria database describes a relaxed BaGe3Os crystal. The functional is PBE.

Values from the calculation:
- spin magnetization (μB/f.u.) = 0.00
- N(E_F) (states/eV per cell) = 7.5
- DFT total energy (hartree per atom) = -0.19568

```
BaGe3Os
1.0
4.9472 0.0000 0.0000
0.0000 4.9472 0.0000
0.0000 0.0000 4.9472
Ba Ge Os
1 3 1
direct
0.0000 0.0000 0.0000
0.0000 0.5000 0.5000
0.5000 0.0000 0.5000
0.5000 0.5000 0.0000
0.5000 0.5000 0.5000
```



[2]
This record from the Alexandria database describes a relaxed BaGe12Os4 crystal. The functional is PBE.

Values from the calculation:
- spin magnetization (μB/f.u.) = 0.00
- N(E_F) (states/eV per cell) = 11.7
- DFT total energy (hartree per atom) = -0.21608

```
BaGe12Os4
1.0
-4.4241 4.4241 4.4241
4.4241 -4.4241 4.4241
4.4241 4.4241 -4.4241
Ba Ge Os
1 12 4
direct
0.0000 0.0000 0.0000
0.1683 0.3483 0.5166
0.1683 0.6517 0.8200
0.1800 0.8317 0.3483
0.3483 0.1800 0.8317
0.3483 0.5166 0.1683
0.4834 0.8317 0.6517
0.5166 0.1683 0.3483
0.6517 0.4834 0.8317
0.6517 0.8200 0.1683
0.8200 0.1683 0.6517
0.8317 0.3483 0.1800
0.8317 0.6517 0.4834
0.0000 0.0000 0.5000
0.0000 0.5000 0.0000
0.5000 0.0000 0.0000
0.5000 0.5000 0.5000
```



[3]
This record from the Alexandria database describes a relaxed BaGeOs crystal. The functional is PBE.

Values from the calculation:
- spin magnetization (μB/f.u.) = 0.00
- N(E_F) (states/eV per cell) = 2.2
- DFT total energy (hartree per atom) = -0.22294

```
BaGeOs
1.0
6.3218 -2.1986 0.0000
6.3218 2.1986 0.0000
-1.5086 0.0000 6.1295
Ba Ge Os
2 2 2
direct
0.1022 0.1022 0.3161
0.8978 0.8978 0.6839
0.3797 0.3797 0.2203
0.6203 0.6203 0.7797
0.2129 0.2129 0.9149
0.7871 0.7871 0.0851
```



[4]
This record from the Alexandria database describes a relaxed BaGeOs2 crystal. The functional is PBE.

Values from the calculation:
- spin magnetization (μB/f.u.) = 0.00
- N(E_F) (states/eV per cell) = 7.5
- DFT total energy (hartree per atom) = -0.24945

```
BaGeOs2
1.0
-2.4773 2.4773 8.5703
2.4773 -2.4773 8.5703
2.4773 2.4773 -8.5703
Ba Ge Os
2 2 4
direct
0.0000 0.0000 0.0000
0.7500 0.2500 0.5000
0.2500 0.7500 0.5000
0.5000 0.5000 0.0000
0.3523 0.1250 0.7273
0.3750 0.6477 0.7727
0.3977 0.6250 0.2727
0.8750 0.6023 0.2273
```